Entry 1:
Computed, not measured: a relaxed Ba2LaZn crystal at the PBE level of DFT.

Values from the calculation:
For the formation energy, the calculation gives 0.134 eV per atom. For the calculated volume, the calculation gives 42.6 Å³ per atom. Its size of the total moment is 0.0 μB/f.u.

a = 4.0806 Å, b = 4.0806 Å, c = 35.4769 Å
α = 90.00°, β = 90.00°, γ = 120.00°
With the nearest neighbours (Å) after each atom.
Space group R-3m (No. 166, hexagonal axes)
Symmetry-distinct sites (fractional):
Ba 0.0000 0.0000 0.2372 x6  3 Zn 3.44
La 0.0000 0.0000 0.0000 x3  6 La 4.08, 6 Ba 4.15
Zn 0.0000 0.0000 0.5000 x3  6 Ba 3.44

***

Entry 2:
Computed, not measured: a relaxed CaPd2Pt2 crystal at the PBE level of DFT.

Values from the calculation:
For the formation energy, the calculation gives -0.354 eV per atom. For the calculated volume, the calculation gives 17.8 Å³ per atom. Its size of the total moment is 0.0 μB/f.u.

a = 7.7795 Å, b = 7.7795 Å, c = 2.9357 Å
α = 90.00°, β = 90.00°, γ = 90.00°
With the nearest neighbours (Å) after each atom.
Space group P4/mbm (No. 127)
Symmetry-distinct sites (fractional):
Ca 0.0000 0.0000 0.0000 x2  2 Ca 2.94, 4 Pd 3.07, 8 Pt 3.23
Pd 0.1267 0.3733 0.0000 x4  6 Pt 2.65-2.78, 3 Pd 2.79-2.94
Pt 0.1728 0.6728 0.5000 x4  6 Pd 2.65-2.78, 2 Pt 2.94

***

Entry 3:
Computed, not measured: a relaxed NiBi2H2 crystal at the PBE level of DFT.

Values from the calculation:
For the calculated volume, the calculation gives 15.5 Å³ per atom. Its size of the total moment is 0.0 μB/f.u. The calculation puts the total energy at -35.81 eV per cell.

a = 3.3951 Å, b = 3.3951 Å, c = 13.4310 Å
α = 90.00°, β = 90.00°, γ = 90.00°
With the nearest neighbours (Å) after each atom.
Space group I4/mmm (No. 139)
Symmetry-distinct sites (fractional):
Ni 0.0000 0.0000 0.0000 x2  8 Bi 2.94
Bi 0.0000 0.0000 0.3733 x4  4 H 2.37
H 0.0000 0.5000 0.2500 x4  4 Bi 2.37, 4 H 2.40

***

Entry 4:
Computed, not measured: a relaxed Nb3BiAu crystal at the PBE level of DFT.

Values from the calculation:
For the formation energy, the calculation gives 1.276 eV per atom. For the calculated volume, the calculation gives 25.3 Å³ per atom. Its size of the total moment is 0.0 μB/f.u.

a = 5.0205 Å, b = 5.0205 Å, c = 5.0205 Å
α = 90.00°, β = 90.00°, γ = 90.00°
With the nearest neighbours (Å) after each atom.
Space group Pm-3m (No. 221)
Symmetry-distinct sites (fractional):
Nb 0.0000 0.0000 0.5000 x3  2 Au 2.51
Bi 0.5000 0.5000 0.5000 x1  12 Nb 3.55
Au 0.0000 0.0000 0.0000 x1  6 Nb 2.51

***

Entry 5:
Computed, not measured: a relaxed Pr3Si3Ir crystal at the PBE level of DFT.

Values from the calculation:
For the calculated volume, the calculation gives 22.1 Å³ per atom. Its size of the total moment is 0.0 μB/f.u. Its formation energy without anion corrections is -0.802 eV/atom.

a = 4.1720 Å, b = 11.0492 Å, c = 13.4100 Å
α = 90.00°, β = 90.00°, γ = 90.00°
With the nearest neighbours (Å) after each atom.
Space group Cmcm (No. 63)
Symmetry-distinct sites (fractional):
Pr 0.0000 0.0206 0.2500 x4  7 Si 3.06-3.28, 2 Ir 3.36
Pr 0.0000 0.2774 0.6022 x8  6 Si 3.06-3.16, 1 Ir 3.36
Si 0.0000 0.3176 0.2500 x4  2 Si 2.52
Si 0.0000 0.4375 0.0903 x8  2 Ir 2.51, 2 Si 2.52-2.79
Ir 0.0000 0.0000 0.0000 x4  4 Si 2.51

***

Entry 6:
Computed, not measured: a relaxed Mn4Pt3Au crystal at the PBE level of DFT.

Values from the calculation:
For the formation energy, the calculation gives -0.258 eV per atom. For the calculated volume, the calculation gives 15.5 Å³ per atom. Its size of the total moment is 17.3 μB/f.u.

a = 4.1715 Å, b = 4.1715 Å, c = 14.2270 Å
α = 90.00°, β = 90.00°, γ = 90.00°
With the nearest neighbours (Å) after each atom.
Space group I4/mmm (No. 139)
Symmetry-distinct sites (fractional):
Mn 0.0000 0.5000 0.1275 x8  6 Pt 2.72-2.76, 2 Au 2.76, 4 Mn 2.95
Pt 0.0000 0.0000 0.0000 x2  8 Mn 2.76, 4 Au 2.95
Pt 0.0000 0.0000 0.2501 x4  8 Mn 2.72, 4 Pt 2.95
Au 0.0000 0.0000 0.5000 x2  8 Mn 2.76, 4 Pt 2.95

***

Entry 7:
Computed, not measured: a relaxed Tl2Hg3Au4 crystal at the PBE level of DFT.

Values from the calculation:
For the formation energy, the calculation gives 0.018 eV per atom. For the calculated volume, the calculation gives 24.0 Å³ per atom. Its size of the total moment is 0.0 μB/f.u.

a = 6.4553 Å, b = 18.6132 Å, c = 7.1776 Å
α = 90.00°, β = 90.00°, γ = 90.00°
With the nearest neighbours (Å) after each atom.
Space group Cmce (No. 64)
Symmetry-distinct sites (fractional):
Tl 0.0000 0.0919 0.1037 x8  3 Au 3.01, 1 Hg 3.32
Hg 0.0000 0.0000 0.5000 x4  6 Au 2.88-3.01
Hg 0.2500 0.2460 0.7500 x8  5 Au 2.89-3.01, 2 Hg 3.23
Au 0.0000 0.1614 0.4831 x8  2 Au 2.88, 5 Hg 2.89-3.01, 1 Tl 3.01
Au 0.2500 0.0845 0.7500 x8  3 Hg 2.88-3.01, 2 Au 2.88, 2 Tl 3.01

***

Entry 8:
Computed, not measured: a relaxed PmPr2Sm2Ho crystal at the PBE level of DFT.

Values from the calculation:
For the formation energy, the calculation gives 0.058 eV per atom. For the calculated volume, the calculation gives 34.0 Å³ per atom. Its size of the total moment is 0.0 μB/f.u.

a = 7.0919 Å, b = 5.7643 Å, c = 9.9851 Å
α = 90.00°, β = 90.00°, γ = 90.00°
With the nearest neighbours (Å) after each atom.
Space group Pmma (No. 51)
Symmetry-distinct sites (fractional):
Pm 0.0000 0.0000 0.0000 x2  2 Pm 3.55, 2 Pr 3.73, 4 Ho 3.76, 6 Sm 3.78-3.79
Pr 0.0000 0.5000 0.5000 x2  6 Pr 3.55-3.79, 6 Sm 3.76, 2 Ho 3.80
Pr 0.2500 0.0000 0.3282 x2  5 Sm 3.30-3.55
Sm 0.2500 0.0000 0.6648 x2  2 Ho 3.36, 3 Pr 3.36-3.55
Sm 0.2500 0.5000 0.1681 x2  2 Pr 3.30, 3 Ho 3.31-3.55
Ho 0.2500 0.5000 0.8369 x2  5 Sm 3.31-3.55